Entry 1:
This record from Alexandria via LeMat-Bulk describes a geometry-optimized LaCd2BrCl structure. The functional is PBE.

Computed properties:
As for the formation energy (no corrections): -218 kJ/mol of formula units. As for the space-group type: P4/mmm. As for the final energy: -12.54 eV per cell. The magnetic moment comes out at 0.00 μB/f.u.

Cell and atoms, written as POSCAR:
```
LaCd2BrCl
1.0
6.523 0.000 0.000
0.000 6.523 0.000
0.000 0.000 5.396
La Cd Br Cl
1 2 1 1
Direct
0.000 0.000 0.000
0.000 0.500 0.000
0.500 0.000 0.000
0.500 0.500 0.500
0.000 0.000 0.500
```

Entry 2:
This record from Alexandria via LeMat-Bulk describes a geometry-optimized NaCdBrCl2 structure. The functional is PBE.

Computed properties:
As for the formation energy (no corrections): -607 kJ/mol of formula units. As for the space-group type: Cmcm. As for the final energy: -27.79 eV per cell. The magnetic moment comes out at 0.00 μB/f.u.

Cell and atoms, written as POSCAR:
```
NaCdBrCl2
1.0
1.939 -6.472 0.000
1.939 6.472 0.000
0.000 0.000 10.155
Na Cd Br Cl
2 2 2 4
Direct
0.234 0.766 0.750
0.766 0.234 0.250
0.000 0.000 0.000
0.000 0.000 0.500
0.092 0.908 0.250
0.908 0.092 0.750
0.367 0.633 0.067
0.367 0.633 0.433
0.633 0.367 0.567
0.633 0.367 0.933
```

Entry 3:
This record from Alexandria via LeMat-Bulk describes a geometry-optimized NaCdBrCl2 structure. The functional is PBE.

Computed properties:
As for the formation energy (no corrections): -543 kJ/mol of formula units. As for the space-group type: P4/mmm. As for the final energy: -13.23 eV per cell. The magnetic moment comes out at 0.00 μB/f.u.

Cell and atoms, written as POSCAR:
```
NaCdBrCl2
1.0
5.188 0.000 0.000
0.000 5.188 0.000
0.000 0.000 5.571
Na Cd Br Cl
1 1 1 2
Direct
0.000 0.000 0.000
0.500 0.500 0.500
0.500 0.500 0.000
0.000 0.500 0.500
0.500 0.000 0.500
```

Entry 4:
This record from Alexandria via LeMat-Bulk describes a geometry-optimized Na2CdBr2Cl2 structure. The functional is PBE.

Computed properties:
As for the formation energy (no corrections): -917 kJ/mol of formula units. As for the space-group type: C2/m. As for the final energy: -40.19 eV per cell. The magnetic moment comes out at 0.00 μB/f.u.

Cell and atoms, written as POSCAR:
```
Na2CdBr2Cl2
1.0
13.621 0.000 0.000
0.000 4.163 0.000
-2.437 0.000 7.028
Na Cd Br Cl
4 2 4 4
Direct
0.231 0.000 0.222
0.269 0.500 0.778
0.731 0.500 0.222
0.769 0.000 0.778
0.000 0.000 0.500
0.500 0.500 0.500
0.110 0.500 0.375
0.390 0.000 0.625
0.610 0.000 0.375
0.890 0.500 0.625
0.146 0.000 0.825
0.354 0.500 0.175
0.646 0.500 0.825
0.854 0.000 0.175
```

Entry 5:
This record from Alexandria via LeMat-Bulk describes a geometry-optimized CdNiBr2Cl structure. The functional is PBE.

Computed properties:
As for the formation energy (no corrections): -126 kJ/mol of formula units. As for the space-group type: P4/mmm. As for the final energy: -13.20 eV per cell. The magnetic moment comes out at 0.00 μB/f.u.

Cell and atoms, written as POSCAR:
```
CdNiBr2Cl
1.0
5.030 0.000 0.000
0.000 5.030 0.000
0.000 0.000 4.571
Cd Ni Br Cl
1 1 2 1
Direct
0.000 0.000 0.000
0.500 0.500 0.500
0.000 0.500 0.500
0.500 0.000 0.500
0.500 0.500 0.000
```

Entry 6:
This record from Alexandria via LeMat-Bulk describes a geometry-optimized Cd4PBr2Cl structure. The functional is PBE.

Computed properties:
As for the formation energy (no corrections): -346 kJ/mol of formula units. As for the space-group type: Pmn2_1. As for the final energy: -35.70 eV per cell. The magnetic moment comes out at 0.00 μB/f.u.

Cell and atoms, written as POSCAR:
```
Cd4PBr2Cl
1.0
7.635 0.000 0.000
0.000 8.659 0.000
0.000 0.000 7.503
Cd P Br Cl
8 2 4 2
Direct
0.000 0.050 0.000
0.000 0.805 0.597
0.182 0.336 0.490
0.318 0.664 0.990
0.500 0.195 0.097
0.500 0.950 0.500
0.682 0.664 0.990
0.818 0.336 0.490
0.000 0.769 0.925
0.500 0.231 0.425
0.221 0.301 0.918
0.279 0.699 0.418
0.721 0.699 0.418
0.779 0.301 0.918
0.000 0.038 0.360
0.500 0.962 0.860
```

Entry 7:
This record from Alexandria via LeMat-Bulk describes a geometry-optimized CdPb3Br6Cl2 structure. The functional is PBE.

Computed properties:
As for the formation energy (no corrections): -1087 kJ/mol of formula units. As for the space-group type: C2/m. As for the final energy: -37.04 eV per cell. The magnetic moment comes out at 0.00 μB/f.u.

Cell and atoms, written as POSCAR:
```
CdPb3Br6Cl2
1.0
7.439 -4.300 0.000
7.439 4.300 0.000
-0.325 0.000 6.577
Cd Pb Br Cl
1 3 6 2
Direct
0.000 0.000 0.000
0.000 0.500 0.000
0.500 0.000 0.000
0.500 0.500 0.500
0.147 0.147 0.756
0.155 0.679 0.751
0.321 0.845 0.249
0.679 0.155 0.751
0.845 0.321 0.249
0.853 0.853 0.244
0.331 0.331 0.250
0.669 0.669 0.750
```

Entry 8:
This record from Alexandria via LeMat-Bulk describes a geometry-optimized CdPb2BrCl structure. The functional is PBE.

Computed properties:
As for the formation energy (no corrections): 96 kJ/mol of formula units. As for the space-group type: P4/mmm. As for the final energy: -10.85 eV per cell. The magnetic moment comes out at 0.00 μB/f.u.

Cell and atoms, written as POSCAR:
```
CdPb2BrCl
1.0
5.706 0.000 0.000
0.000 5.706 0.000
0.000 0.000 6.353
Cd Pb Br Cl
1 2 1 1
Direct
0.000 0.000 0.000
0.000 0.500 0.500
0.500 0.000 0.500
0.500 0.500 0.500
0.500 0.500 0.000
```

Entry 9:
This record from Alexandria via LeMat-Bulk describes a geometry-optimized CdPbBrCl3 structure. The functional is PBE.

Computed properties:
As for the formation energy (no corrections): -597 kJ/mol of formula units. As for the space-group type: Cmcm. As for the final energy: -36.05 eV per cell. The magnetic moment comes out at 0.00 μB/f.u.

Cell and atoms, written as POSCAR:
```
CdPbBrCl3
1.0
2.122 -8.622 0.000
2.122 8.622 0.000
0.000 0.000 11.549
Cd Pb Br Cl
2 2 2 6
Direct
0.148 0.852 0.750
0.852 0.148 0.250
0.500 0.500 0.000
0.500 0.500 0.500
0.258 0.742 0.250
0.742 0.258 0.750
0.114 0.886 0.525
0.114 0.886 0.975
0.481 0.519 0.250
0.519 0.481 0.750
0.886 0.114 0.025
0.886 0.114 0.475
```

Entry 10:
This record from Alexandria via LeMat-Bulk describes a geometry-optimized Rb2CdBrCl6 structure. The functional is PBE.

Computed properties:
As for the formation energy (no corrections): -958 kJ/mol of formula units. As for the space-group type: I4/mmm. As for the final energy: -25.53 eV per cell. The magnetic moment comes out at 1.00 μB/f.u.

Cell and atoms, written as POSCAR:
```
Rb2CdBrCl6
1.0
-3.738 3.738 5.881
3.738 -3.738 5.881
3.738 3.738 -5.881
Rb Cd Br Cl
2 1 1 6
Direct
0.250 0.750 0.500
0.750 0.250 0.500
0.000 0.000 0.000
0.500 0.500 0.000
0.212 0.212 0.000
0.254 0.254 0.509
0.254 0.746 0.000
0.746 0.254 0.000
0.746 0.746 0.491
0.788 0.788 0.000
```

Entry 11:
This record from Alexandria via LeMat-Bulk describes a geometry-optimized Rb3Cd2Br2Cl5 structure. The functional is PBE.

Computed properties:
As for the formation energy (no corrections): -1709 kJ/mol of formula units. As for the space-group type: I4/mmm. As for the final energy: -35.03 eV per cell. The magnetic moment comes out at 0.00 μB/f.u.

Cell and atoms, written as POSCAR:
```
Rb3Cd2Br2Cl5
1.0
-2.658 2.658 13.718
2.658 -2.658 13.718
2.658 2.658 -13.718
Rb Cd Br Cl
3 2 2 5
Direct
0.000 0.000 0.000
0.176 0.176 0.000
0.824 0.824 0.000
0.403 0.403 0.000
0.597 0.597 0.000
0.304 0.304 0.000
0.696 0.696 0.000
0.093 0.593 0.500
0.407 0.907 0.500
0.500 0.500 0.000
0.593 0.093 0.500
0.907 0.407 0.500
```

Entry 12:
This record from Alexandria via LeMat-Bulk describes a geometry-optimized Rb2CdBr3Cl structure. The functional is PBE.

Computed properties:
As for the formation energy (no corrections): -964 kJ/mol of formula units. As for the space-group type: Immm. As for the final energy: -39.41 eV per cell. The magnetic moment comes out at 0.00 μB/f.u.

Cell and atoms, written as POSCAR:
```
Rb2CdBr3Cl
1.0
5.375 0.000 0.000
0.000 5.564 0.000
0.000 0.000 17.134
Rb Cd Br Cl
4 2 6 2
Direct
0.000 0.000 0.137
0.000 0.000 0.863
0.500 0.500 0.363
0.500 0.500 0.637
0.000 0.000 0.500
0.500 0.500 0.000
0.000 0.000 0.339
0.000 0.000 0.661
0.000 0.500 0.500
0.500 0.000 0.000
0.500 0.500 0.161
0.500 0.500 0.839
0.000 0.500 0.000
0.500 0.000 0.500
```

Entry 13:
This record from Alexandria via LeMat-Bulk describes a geometry-optimized Rb3Cd2Br5Cl2 structure. The functional is PBE.

Computed properties:
As for the formation energy (no corrections): -1563 kJ/mol of formula units. As for the space-group type: I4/mmm. As for the final energy: -32.99 eV per cell. The magnetic moment comes out at 0.00 μB/f.u.

Cell and atoms, written as POSCAR:
```
Rb3Cd2Br5Cl2
1.0
-2.800 2.800 13.599
2.800 -2.800 13.599
2.800 2.800 -13.599
Rb Cd Br Cl
3 2 5 2
Direct
0.000 0.000 0.000
0.182 0.182 0.000
0.818 0.818 0.000
0.396 0.396 0.000
0.604 0.604 0.000
0.098 0.598 0.500
0.402 0.902 0.500
0.500 0.500 0.000
0.598 0.098 0.500
0.902 0.402 0.500
0.301 0.301 0.000
0.699 0.699 0.000
```

Entry 14:
This record from Alexandria via LeMat-Bulk describes a geometry-optimized Rb2CdBrCl3 structure. The functional is PBE.

Computed properties:
As for the formation energy (no corrections): -1031 kJ/mol of formula units. As for the space-group type: Immm. As for the final energy: -41.49 eV per cell. The magnetic moment comes out at 0.00 μB/f.u.

Cell and atoms, written as POSCAR:
```
Rb2CdBrCl3
1.0
5.358 0.000 0.000
0.000 5.531 0.000
0.000 0.000 16.375
Rb Cd Br Cl
4 2 2 6
Direct
0.000 0.000 0.142
0.000 0.000 0.858
0.500 0.500 0.358
0.500 0.500 0.642
0.000 0.000 0.500
0.500 0.500 0.000
0.000 0.500 0.500
0.500 0.000 0.000
0.000 0.000 0.341
0.000 0.000 0.659
0.000 0.500 0.000
0.500 0.000 0.500
0.500 0.500 0.159
0.500 0.500 0.841
```

Entry 15:
This record from Alexandria via LeMat-Bulk describes a geometry-optimized Rb3Cd2Br3Cl4 structure. The functional is PBE.

Computed properties:
As for the formation energy (no corrections): -1648 kJ/mol of formula units. As for the space-group type: Imm2. As for the final energy: -34.21 eV per cell. The magnetic moment comes out at 0.00 μB/f.u.

Cell and atoms, written as POSCAR:
```
Rb3Cd2Br3Cl4
1.0
-2.779 13.668 2.665
2.779 -13.668 2.665
2.779 13.668 -2.665
Rb Cd Br Cl
3 2 3 4
Direct
0.000 0.000 0.000
0.181 0.999 0.182
0.817 0.999 0.818
0.396 0.000 0.396
0.604 0.000 0.604
0.404 0.499 0.904
0.501 0.001 0.500
0.595 0.499 0.096
0.102 0.500 0.602
0.302 0.001 0.302
0.699 0.001 0.698
0.898 0.500 0.398
```

Entry 16:
This record from Alexandria via LeMat-Bulk describes a geometry-optimized Rb2CdBr6Cl structure. The functional is PBE.

Computed properties:
As for the formation energy (no corrections): -773 kJ/mol of formula units. As for the space-group type: I4/mmm. As for the final energy: -22.75 eV per cell. The magnetic moment comes out at 1.00 μB/f.u.

Cell and atoms, written as POSCAR:
```
Rb2CdBr6Cl
1.0
-3.888 3.888 6.017
3.888 -3.888 6.017
3.888 3.888 -6.017
Rb Cd Br Cl
2 1 6 1
Direct
0.250 0.750 0.500
0.750 0.250 0.500
0.000 0.000 0.000
0.219 0.219 0.000
0.255 0.255 0.511
0.255 0.745 0.000
0.745 0.255 0.000
0.745 0.745 0.489
0.781 0.781 0.000
0.500 0.500 0.000
```

Entry 17:
This record from Alexandria via LeMat-Bulk describes a geometry-optimized Rb2CdBr2Cl2 structure. The functional is PBE.

Computed properties:
As for the formation energy (no corrections): -1011 kJ/mol of formula units. As for the space-group type: I4/mmm. As for the final energy: -40.74 eV per cell. The magnetic moment comes out at 0.00 μB/f.u.

Cell and atoms, written as POSCAR:
```
Rb2CdBr2Cl2
1.0
5.340 0.000 0.000
0.000 5.340 0.000
0.000 0.000 17.087
Rb Cd Br Cl
4 2 4 4
Direct
0.000 0.000 0.135
0.000 0.000 0.865
0.500 0.500 0.365
0.500 0.500 0.635
0.000 0.000 0.500
0.500 0.500 0.000
0.000 0.000 0.339
0.000 0.000 0.661
0.500 0.500 0.161
0.500 0.500 0.839
0.000 0.500 0.000
0.000 0.500 0.500
0.500 0.000 0.000
0.500 0.000 0.500
```

Entry 18:
This record from Alexandria via LeMat-Bulk describes a geometry-optimized Cd2ReBrCl structure. The functional is PBE.

Computed properties:
As for the formation energy (no corrections): 513 kJ/mol of formula units. As for the space-group type: P4/mmm. As for the final energy: -12.48 eV per cell. The magnetic moment comes out at 1.13 μB/f.u.

Cell and atoms, written as POSCAR:
```
Cd2ReBrCl
1.0
5.743 0.000 0.000
0.000 5.743 0.000
0.000 0.000 4.291
Cd Re Br Cl
2 1 1 1
Direct
0.000 0.500 0.000
0.500 0.000 0.000
0.000 0.000 0.500
0.500 0.500 0.500
0.000 0.000 0.000
```

Entry 19:
This record from Alexandria via LeMat-Bulk describes a geometry-optimized CdSBrCl2 structure. The functional is PBE.

Computed properties:
As for the formation energy (no corrections): 62 kJ/mol of formula units. As for the space-group type: P4/mmm. As for the final energy: -9.76 eV per cell. The magnetic moment comes out at 3.06 μB/f.u.

Cell and atoms, written as POSCAR:
```
CdSBrCl2
1.0
5.149 0.000 0.000
0.000 5.149 0.000
0.000 0.000 5.435
Cd S Br Cl
1 1 1 2
Direct
0.000 0.000 0.000
0.000 0.000 0.500
0.500 0.500 0.500
0.000 0.500 0.000
0.500 0.000 0.000
```

Entry 20:
This record from Alexandria via LeMat-Bulk describes a geometry-optimized CdSBrCl2 structure. The functional is PBE.

Computed properties:
As for the formation energy (no corrections): 178 kJ/mol of formula units. As for the space-group type: P4/mmm. As for the final energy: -8.56 eV per cell. The magnetic moment comes out at 0.00 μB/f.u.

Cell and atoms, written as POSCAR:
```
CdSBrCl2
1.0
5.192 0.000 0.000
0.000 5.192 0.000
0.000 0.000 4.966
Cd S Br Cl
1 1 1 2
Direct
0.000 0.000 0.000
0.500 0.500 0.000
0.500 0.500 0.500
0.000 0.500 0.500
0.500 0.000 0.500
```